1.
Below is a relaxed structure of Sm6HoSc4, with properties calculated at the PBE level. Values from VASP.

Properties
Total moment: 0.00 μB per formula unit
DOS(E_F): 18.188 states/eV/cell
Total energy: -56.51 eV/cell

Cell and atoms, written as Quantum ESPRESSO input:
```
&SYSTEM
  ibrav = 0, nat = 11, ntyp = 3
/
ATOMIC_SPECIES
Sm 150.36 Sm.upf
Ho 164.93 Ho.upf
Sc 44.96 Sc.upf
CELL_PARAMETERS angstrom
10.6641 0.0000 0.0000
-5.3320 9.2353 0.0000
0.0000 0.0000 3.4542
ATOMIC_POSITIONS angstrom
Sm -2.4078 4.7667 0.0000
Sm 0.0000 2.5463 1.7271
Sm -3.1269 7.9622 1.7271
Sm 2.4078 4.7667 0.0000
Sm 0.0000 8.9372 0.0000
Sm 3.1269 7.9622 1.7271
Ho 5.3320 3.0784 1.7271
Sc 0.0000 6.1569 1.7271
Sc 2.8264 1.6318 0.0000
Sc 7.8376 1.6318 0.0000
Sc 5.3320 5.9717 0.0000
```

2.
Below is a relaxed structure of USbMo2, with properties calculated at the PBE level. Values from VASP.

Properties
Total moment: 0.00 μB per formula unit
DOS(E_F): 3.142 states/eV/cell
E_form (uncorrected): 0.041 eV/atom

Cell and atoms, written as Quantum ESPRESSO input:
```
&SYSTEM
  ibrav = 0, nat = 4, ntyp = 3
/
ATOMIC_SPECIES
U 238.03 U.upf
Sb 121.76 Sb.upf
Mo 95.94 Mo.upf
CELL_PARAMETERS angstrom
4.5400 0.0000 0.0000
0.0000 4.5400 0.0000
0.0000 0.0000 3.6295
ATOMIC_POSITIONS angstrom
U 0.0000 0.0000 0.0000
Sb 2.2700 2.2700 0.0000
Mo 0.0000 2.2700 1.8148
Mo 2.2700 0.0000 1.8148
```